{
  "formula": "AsWSe2N",
  "functional": "PBE",
  "state": "relaxed",
  "lattice_angstrom": [[-3.609, 1.908, -1.488], [-2.411, -2.614, 2.496], [0.194, 2.813, 3.134]],
  "species": ["N", "W", "Se", "Se", "As"],
  "frac_coords": [[0.000, 0.000, 0.000], [0.500, 0.500, 0.500], [0.000, 0.500, 0.000], [0.500, 0.000, 0.000], [0.000, 0.000, 0.500]],
  "space_group": "P4/mmm, No. 123",
  "de_polymorph_mev_per_atom": 800
}



{
  "formula": "PuNbPd",
  "functional": "PBE",
  "state": "relaxed",
  "lattice_angstrom": [[-4.057, 1.916, -3.311], [-0.363, -1.950, -5.379], [-7.071, -5.244, 0.933]],
  "species": ["Pu", "Pu", "Pu", "Pu", "Pd", "Pd", "Pd", "Pd", "Nb", "Nb", "Nb", "Nb"],
  "frac_coords": [[0.333, 0.500, 0.333], [0.417, 0.000, 0.167], [0.167, 0.500, 0.667], [0.583, 0.000, 0.833], [0.781, 0.439, 0.000], [0.531, 0.939, 0.500], [0.219, 0.561, 0.000], [0.969, 0.061, 0.500], [0.851, 0.500, 0.298], [0.101, 0.000, 0.798], [0.899, 0.000, 0.202], [0.649, 0.500, 0.702]],
  "space_group": "Fddd, No. 70",
  "de_polymorph_mev_per_atom": 189,
  "e_form_kcal_per_mol_atoms": 2.44
}



{
  "formula": "CaLa2Ag",
  "functional": "PBE",
  "state": "relaxed",
  "lattice_angstrom": [[-0.197, 10.532, 4.023], [-1.494, 8.660, 7.066], [2.248, 8.957, 6.470]],
  "species": ["La", "La", "Ca", "Ag"],
  "frac_coords": [[0.987, 0.987, 0.987], [0.513, 0.513, 0.513], [0.750, 0.750, 0.750], [0.250, 0.250, 0.250]],
  "space_group": "R-3m, No. 166",
  "de_polymorph_mev_per_atom": 109,
  "e_form_kcal_per_mol_atoms": 0.40
}



{
  "formula": "SrMgSb2",
  "functional": "PBE",
  "state": "relaxed",
  "lattice_angstrom": [[5.593, -0.019, 0.000], [-1.076, 5.488, 0.000], [0.000, 0.000, 3.760]],
  "species": ["Mg", "Sb", "Sb", "Sr"],
  "frac_coords": [[0.000, 0.500, 0.500], [0.500, 0.500, 0.000], [0.000, 0.000, 0.000], [0.500, 0.000, 0.500]],
  "space_group": "Cmmm, No. 65"
}



{
  "formula": "UInPt2",
  "functional": "PBE",
  "state": "relaxed",
  "lattice_angstrom": [[-1.262, 2.558, 0.822], [-2.772, 0.026, -4.337], [-3.744, -2.611, 2.377]],
  "species": ["U", "In", "Pt", "Pt"],
  "frac_coords": [[0.500, 0.500, 0.500], [0.500, 0.000, 0.000], [0.000, 0.000, 0.500], [0.000, 0.500, 0.000]],
  "space_group": "P4/mmm, No. 123",
  "e_form_kcal_per_mol_atoms": -10.40
}



{
  "formula": "LiDyPaIr",
  "functional": "PBE",
  "state": "relaxed",
  "lattice_angstrom": [[-1.673, -3.318, -3.221], [-2.249, -4.068, 1.605], [-4.841, -0.558, -0.664]],
  "species": ["Li", "Ir", "Dy", "Pa"],
  "frac_coords": [[0.000, 0.000, 0.000], [0.500, 0.500, 0.500], [0.250, 0.250, 0.250], [0.750, 0.750, 0.750]],
  "space_group": "F-43m, No. 216",
  "e_form_kcal_per_mol_atoms": -6.14
}



{
  "formula": "Ca2Pr12Er5",
  "functional": "PBE",
  "state": "relaxed",
  "lattice_angstrom": [[7.107, 0.000, 0.000], [-3.553, 9.458, -2.890], [0.000, -0.345, 11.106]],
  "species": ["Pr", "Pr", "Pr", "Pr", "Pr", "Pr", "Pr", "Pr", "Pr", "Pr", "Pr", "Pr", "Er", "Er", "Er", "Er", "Er", "Ca", "Ca"],
  "frac_coords": [[0.593, 0.678, 0.380], [0.915, 0.322, 0.620], [0.954, 0.396, 0.099], [0.470, 0.941, 0.629], [0.141, 0.282, 0.334], [0.442, 0.396, 0.099], [0.558, 0.604, 0.901], [0.530, 0.059, 0.371], [0.859, 0.718, 0.666], [0.046, 0.604, 0.901], [0.085, 0.678, 0.380], [0.407, 0.322, 0.620], [0.000, 0.000, 0.500], [0.629, 0.259, 0.842], [0.371, 0.741, 0.158], [0.696, 0.393, 0.378], [0.304, 0.607, 0.622], [0.256, 0.000, 0.000], [0.744, 0.000, 0.000]],
  "space_group": "C2/m, No. 12",
  "e_form_kcal_per_mol_atoms": 8.16
}



{
  "formula": "CeSi2TcMo",
  "functional": "PBE",
  "state": "relaxed",
  "lattice_angstrom": [[4.061, 0.000, 0.000], [0.000, 4.061, 0.000], [-2.031, -2.031, 5.405]],
  "species": ["Ce", "Si", "Si", "Tc", "Mo"],
  "frac_coords": [[0.000, 0.000, 0.000], [0.614, 0.614, 0.228], [0.386, 0.386, 0.772], [0.750, 0.250, 0.500], [0.250, 0.750, 0.500]],
  "space_group": "I-4m2, No. 119"
}



{
  "formula": "NdHo3",
  "functional": "PBE",
  "state": "relaxed",
  "lattice_angstrom": [[-3.377, 4.033, 2.144], [-5.557, -0.990, 0.632], [-2.202, -0.609, 5.200]],
  "species": ["Ho", "Ho", "Ho", "Nd"],
  "frac_coords": [[0.250, 0.250, 0.250], [0.000, 0.000, 0.000], [0.750, 0.750, 0.750], [0.500, 0.500, 0.500]],
  "space_group": "Fm-3m, No. 225",
  "de_polymorph_mev_per_atom": 121,
  "e_form_kcal_per_mol_atoms": 3.07
}



{
  "formula": "BaCrTe",
  "functional": "PBE",
  "state": "relaxed",
  "lattice_angstrom": [[-0.290, -1.067, 6.557], [-2.866, -3.582, 4.814], [2.432, -3.066, 0.829]],
  "species": ["Cr", "Te", "Ba"],
  "frac_coords": [[0.290, 0.290, 0.710], [0.711, 0.711, 0.289], [0.999, 0.999, 0.001]],
  "space_group": "I4mm, No. 107",
  "de_polymorph_mev_per_atom": 287
}



{
  "formula": "CaAcPmGe",
  "functional": "PBE",
  "state": "relaxed",
  "lattice_angstrom": [[5.594, 0.000, 0.000], [2.797, 4.845, 0.000], [2.797, 1.615, 4.567]],
  "species": ["Pm", "Ge", "Ac", "Ca"],
  "frac_coords": [[0.000, 0.000, 0.000], [0.250, 0.250, 0.250], [0.500, 0.500, 0.500], [0.750, 0.750, 0.750]],
  "space_group": "F-43m, No. 216",
  "e_form_kcal_per_mol_atoms": -2.18
}



{
  "formula": "Ba2CrRe",
  "functional": "PBE",
  "state": "relaxed",
  "lattice_angstrom": [[4.152, 0.002, 0.107], [2.073, 3.597, 0.107], [1.784, 1.032, 9.390]],
  "species": ["Ba", "Ba", "Cr", "Re"],
  "frac_coords": [[0.038, 0.038, 0.890], [0.212, 0.212, 0.360], [0.458, 0.458, 0.625], [0.792, 0.792, 0.625]],
  "space_group": "Cm, No. 8",
  "de_polymorph_mev_per_atom": 0,
  "e_form_kcal_per_mol_atoms": 12.57
}



{
  "formula": "BeRhSe3",
  "functional": "PBE",
  "state": "relaxed",
  "lattice_angstrom": [[4.881, 0.000, 0.000], [0.000, 4.881, 0.000], [0.000, 0.000, 4.881]],
  "species": ["Se", "Se", "Se", "Rh", "Be"],
  "frac_coords": [[0.000, 0.000, 0.500], [0.500, 0.000, 0.000], [0.000, 0.500, 0.000], [0.000, 0.000, 0.000], [0.500, 0.500, 0.500]],
  "space_group": "Pm-3m, No. 221",
  "de_polymorph_mev_per_atom": 254
}



{
  "formula": "Si3SnTe",
  "functional": "PBE",
  "state": "relaxed",
  "lattice_angstrom": [[5.173, 0.000, 0.000], [0.000, 5.173, 0.000], [0.000, 0.000, 5.173]],
  "species": ["Sn", "Si", "Si", "Si", "Te"],
  "frac_coords": [[0.000, 0.000, 0.000], [0.500, 0.000, 0.000], [0.000, 0.000, 0.500], [0.000, 0.500, 0.000], [0.500, 0.500, 0.500]],
  "space_group": "Pm-3m, No. 221",
  "de_polymorph_mev_per_atom": 0
}



{
  "formula": "YHg2Pd",
  "functional": "PBE",
  "state": "relaxed",
  "lattice_angstrom": [[4.315, -0.114, 2.409], [0.863, -3.521, 3.361], [3.271, -3.581, -0.956]],
  "species": ["Hg", "Hg", "Pd", "Y"],
  "frac_coords": [[0.250, 0.250, 0.250], [0.750, 0.750, 0.750], [0.500, 0.500, 0.500], [0.000, 0.000, 0.000]],
  "space_group": "Fm-3m, No. 225",
  "e_form_kcal_per_mol_atoms": -10.78
}



{
  "formula": "LaAsN2Cl",
  "functional": "PBE",
  "state": "relaxed",
  "lattice_angstrom": [[4.328, 0.000, 0.000], [0.000, 4.557, 0.000], [0.000, 0.000, 4.328]],
  "species": ["N", "N", "Cl", "As", "La"],
  "frac_coords": [[0.500, 0.000, 0.000], [0.000, 0.000, 0.500], [0.000, 0.000, 0.000], [0.000, 0.500, 0.000], [0.500, 0.500, 0.500]],
  "space_group": "P4/mmm, No. 123",
  "de_polymorph_mev_per_atom": 1017
}



{
  "formula": "MgSbRh",
  "functional": "PBE",
  "state": "relaxed",
  "lattice_angstrom": [[6.280, 0.048, -0.052], [5.448, 3.124, -0.056], [0.832, 0.229, 3.068]],
  "species": ["Sb", "Mg", "Rh"],
  "frac_coords": [[0.304, 0.304, 0.696], [0.027, 0.027, 0.973], [0.669, 0.669, 0.331]],
  "space_group": "I4mm, No. 107"
}



{
  "formula": "La2TmIn2Ag2",
  "functional": "PBE",
  "state": "relaxed",
  "lattice_angstrom": [[-2.783, 3.984, 0.064], [-3.062, 0.884, -3.669], [-8.480, -3.010, 3.134]],
  "species": ["La", "La", "Ag", "Ag", "In", "In", "Tm"],
  "frac_coords": [[0.872, 0.872, 0.384], [0.128, 0.128, 0.616], [0.612, 0.612, 0.165], [0.388, 0.388, 0.835], [0.268, 0.268, 0.197], [0.732, 0.732, 0.803], [0.000, 0.000, 0.000]],
  "space_group": "R-3m, No. 166",
  "e_form_kcal_per_mol_atoms": -7.27
}



{
  "formula": "Pr3Ni4",
  "functional": "PBE",
  "state": "relaxed",
  "lattice_angstrom": [[4.247, 0.000, 0.000], [-2.124, 4.968, 0.000], [0.000, 0.000, 13.370]],
  "species": ["Ni", "Ni", "Ni", "Ni", "Ni", "Ni", "Ni", "Ni", "Pr", "Pr", "Pr", "Pr", "Pr", "Pr"],
  "frac_coords": [[0.562, 0.124, 0.917], [0.441, 0.882, 0.084], [0.314, 0.628, 0.250], [0.688, 0.376, 0.750], [0.561, 0.123, 0.584], [0.000, 0.000, 0.500], [0.440, 0.880, 0.417], [0.001, 0.003, 0.001], [0.273, 0.545, 0.899], [0.018, 0.036, 0.250], [0.730, 0.461, 0.102], [0.730, 0.460, 0.399], [0.272, 0.545, 0.602], [0.985, 0.969, 0.750]],
  "space_group": "Cm, No. 8",
  "e_form_kcal_per_mol_atoms": -7.33
}



{
  "formula": "KPuGeSe3",
  "functional": "PBE",
  "state": "relaxed",
  "lattice_angstrom": [[4.119, 0.000, 0.000], [0.000, 8.635, 0.061], [0.000, -3.383, 10.530]],
  "species": ["Ge", "Ge", "K", "K", "Se", "Se", "Se", "Se", "Se", "Se", "Pu", "Pu"],
  "frac_coords": [[0.750, 0.870, 0.439], [0.250, 0.130, 0.561], [0.250, 0.238, 0.279], [0.750, 0.762, 0.721], [0.250, 0.596, 0.888], [0.750, 0.901, 0.221], [0.750, 0.404, 0.112], [0.250, 0.099, 0.779], [0.250, 0.670, 0.425], [0.750, 0.330, 0.575], [0.250, 0.647, 0.157], [0.750, 0.353, 0.843]],
  "space_group": "P2_1/m, No. 11"
}



{
  "formula": "Gd2DyPa",
  "functional": "PBE",
  "state": "relaxed",
  "lattice_angstrom": [[4.931, 0.000, 0.000], [0.000, 4.909, 0.000], [0.000, 0.000, 4.909]],
  "species": ["Gd", "Gd", "Dy", "Pa"],
  "frac_coords": [[0.000, 0.000, 0.500], [0.000, 0.500, 0.000], [0.500, 0.000, 0.000], [0.500, 0.500, 0.500]],
  "space_group": "P4/mmm, No. 123",
  "de_polymorph_mev_per_atom": 101,
  "e_form_kcal_per_mol_atoms": 5.28
}



{
  "formula": "Li4Np3AlS8",
  "functional": "PBE",
  "state": "relaxed",
  "lattice_angstrom": [[7.719, 0.000, 0.000], [0.000, 7.555, -0.121], [-3.860, -3.856, 5.460]],
  "species": ["S", "S", "S", "S", "S", "S", "S", "S", "Np", "Np", "Np", "Li", "Li", "Li", "Li", "Al"],
  "frac_coords": [[0.773, 0.740, 0.007], [0.752, 0.756, 0.504], [0.234, 0.741, 0.468], [0.248, 0.244, 0.496], [0.227, 0.260, 0.993], [0.766, 0.259, 0.532], [0.234, 0.740, 0.007], [0.766, 0.260, 0.993], [0.500, 0.500, 0.500], [0.000, 0.500, 0.500], [0.500, 0.500, 0.000], [0.500, 0.000, 0.000], [0.000, 0.000, 0.000], [0.000, 0.000, 0.500], [0.500, 0.000, 0.500], [0.000, 0.500, 0.000]],
  "space_group": "R-3m, No. 166"
}



{
  "formula": "Ta5TiW6",
  "functional": "PBE",
  "state": "relaxed",
  "lattice_angstrom": [[4.381, 0.019, -1.279], [-0.889, 5.690, -2.963], [-0.071, 0.421, 7.908]],
  "species": ["W", "W", "W", "W", "W", "W", "Ti", "Ta", "Ta", "Ta", "Ta", "Ta"],
  "frac_coords": [[0.166, 0.416, 0.333], [0.166, 0.917, 0.333], [0.834, 0.083, 0.667], [0.500, 0.249, 0.000], [0.500, 0.751, 0.000], [0.834, 0.584, 0.667], [0.000, 0.000, 0.000], [0.333, 0.333, 0.666], [0.335, 0.835, 0.670], [0.667, 0.667, 0.334], [0.000, 0.500, 0.000], [0.665, 0.165, 0.330]],
  "space_group": "Immm, No. 71",
  "e_form_kcal_per_mol_atoms": -1.74
}



{
  "formula": "Pr2Zn3InCu12",
  "functional": "PBE",
  "state": "relaxed",
  "lattice_angstrom": [[9.466, 1.820, 1.291], [6.257, 7.332, 1.291], [6.257, 3.642, 6.493]],
  "species": ["In", "Cu", "Cu", "Cu", "Cu", "Cu", "Cu", "Cu", "Cu", "Cu", "Cu", "Cu", "Cu", "Pr", "Pr", "Zn", "Zn", "Zn"],
  "frac_coords": [[0.000, 0.000, 0.000], [0.794, 0.416, 0.416], [0.458, 0.876, 0.876], [0.206, 0.584, 0.584], [0.124, 0.124, 0.542], [0.584, 0.206, 0.584], [0.876, 0.876, 0.458], [0.416, 0.416, 0.794], [0.124, 0.542, 0.124], [0.876, 0.458, 0.876], [0.542, 0.124, 0.124], [0.584, 0.584, 0.206], [0.416, 0.794, 0.416], [0.359, 0.359, 0.359], [0.641, 0.641, 0.641], [0.000, 0.500, 0.000], [0.500, 0.000, 0.000], [0.000, 0.000, 0.500]],
  "space_group": "R-3m, No. 166",
  "e_form_kcal_per_mol_atoms": 1.94
}



{
  "formula": "ZnSe2Br",
  "functional": "PBE",
  "state": "relaxed",
  "lattice_angstrom": [[4.729, -4.088, 5.252], [6.559, -4.508, 1.822], [7.056, -1.244, 3.915]],
  "species": ["Se", "Se", "Br", "Zn"],
  "frac_coords": [[0.110, 0.110, 0.110], [0.890, 0.890, 0.890], [0.000, 0.000, 0.000], [0.500, 0.500, 0.500]],
  "space_group": "R-3m, No. 166",
  "de_polymorph_mev_per_atom": 170
}



no.,volume (Å³ per atom),final energy (eV/cell)
1,15.92,-26.9
2,19.56,-117.1
3,34.59,-14.6
4,28.83,-13.3
5,19.66,-27.9
6,21.02,-25.9
7,38.92,-77.5
8,17.83,-40.5
9,32.39,-18.0
10,32.09,-15.1
11,30.95,-15.9
12,34.82,-23.7
13,23.25,-17.6
14,27.68,-17.5
15,21.36,-14.1
16,17.07,-22.6
17,19.84,-14.2
18,26.61,-27.7
19,20.15,-79.4
20,31.28,-73.6
21,29.71,-41.3
22,19.67,-103.4
23,16.89,-145.8
24,17.62,-63.8
25,25.97,-10.4